# CuP2Pb, optimized geometry, DFT PBE
data_CuP2Pb
_chemical_formula_sum 'Cu1 P2 Pb1'
_symmetry_space_group_name_H-M 'P 1'
_symmetry_Int_Tables_number 1
_cell_length_a 4.6031
_cell_length_b 4.6031
_cell_length_c 3.8240
_cell_angle_alpha 90.00
_cell_angle_beta 90.00
_cell_angle_gamma 108.21
loop_
_symmetry_equiv_pos_as_xyz
'x,y,z'
loop_
_atom_site_label
_atom_site_fract_x
_atom_site_fract_y
_atom_site_fract_z
Cu1 0.0000 0.5000 0.5000
P1 0.0000 0.0000 0.0000
P2 0.5000 0.5000 0.0000
Pb1 0.5000 0.0000 0.5000
# formation enthalpy at 0 K: 0.59 eV/atom



DFT (PBE) results for a geometry-optimized Hf3NiH structure.

CIF file:
```
data_Hf3NiH
_chemical_formula_sum 'Hf3 Ni1 H1'
_symmetry_space_group_name_H-M 'P 1'
_symmetry_Int_Tables_number 1
_cell_length_a 4.2846
_cell_length_b 4.2846
_cell_length_c 4.2846
_cell_angle_alpha 90.00
_cell_angle_beta 90.00
_cell_angle_gamma 90.00
loop_
_symmetry_equiv_pos_as_xyz
'x,y,z'
loop_
_atom_site_label
_atom_site_fract_x
_atom_site_fract_y
_atom_site_fract_z
Ni1 0.5000 0.5000 0.5000
Hf1 0.0000 0.5000 0.0000
Hf2 0.0000 0.0000 0.5000
Hf3 0.5000 0.0000 0.0000
H1 0.0000 0.0000 0.0000
```



# Nd6ScHg2, optimized geometry, DFT PBE
data_Nd6ScHg2
_chemical_formula_sum 'Nd6 Sc1 Hg2'
_symmetry_space_group_name_H-M 'P 1'
_symmetry_Int_Tables_number 1
_cell_length_a 3.7422
_cell_length_b 6.6880
_cell_length_c 11.9488
_cell_angle_alpha 75.12
_cell_angle_beta 80.99
_cell_angle_gamma 73.75
loop_
_symmetry_equiv_pos_as_xyz
'x,y,z'
loop_
_atom_site_label
_atom_site_fract_x
_atom_site_fract_y
_atom_site_fract_z
Nd1 0.6813 0.5155 0.1220
Nd2 0.3187 0.4845 0.8780
Nd3 0.3092 0.7873 0.5942
Nd4 0.9732 0.7191 0.3345
Nd5 0.0268 0.2809 0.6655
Nd6 0.6908 0.2127 0.4058
Sc1 0.0000 0.0000 0.0000
Hg1 0.3681 0.0863 0.1775
Hg2 0.6319 0.9137 0.8225
# formation enthalpy at 0 K: -0.19 eV/atom



# Ac2LaGe, optimized geometry, DFT PBE
data_Ac2LaGe
_chemical_formula_sum 'Ac2 La1 Ge1'
_symmetry_space_group_name_H-M 'P 1'
_symmetry_Int_Tables_number 1
_cell_length_a 5.7542
_cell_length_b 5.7542
_cell_length_c 5.7570
_cell_angle_alpha 60.02
_cell_angle_beta 60.02
_cell_angle_gamma 60.00
loop_
_symmetry_equiv_pos_as_xyz
'x,y,z'
loop_
_atom_site_label
_atom_site_fract_x
_atom_site_fract_y
_atom_site_fract_z
Ac1 0.7500 0.7500 0.7500
Ac2 0.2500 0.2500 0.2500
Ge1 0.5000 0.5000 0.5000
La1 0.0000 0.0000 0.0000
# formation enthalpy at 0 K: -0.01 eV/atom



# Pm4SiCl4, optimized geometry, DFT PBE
data_Pm4SiCl4
_chemical_formula_sum 'Pm4 Si1 Cl4'
_symmetry_space_group_name_H-M 'P 1'
_symmetry_Int_Tables_number 1
_cell_length_a 6.8599
_cell_length_b 6.8599
_cell_length_c 7.5409
_cell_angle_alpha 117.06
_cell_angle_beta 117.06
_cell_angle_gamma 90.00
loop_
_symmetry_equiv_pos_as_xyz
'x,y,z'
loop_
_atom_site_label
_atom_site_fract_x
_atom_site_fract_y
_atom_site_fract_z
Pm1 0.6371 0.6371 0.6930
Pm2 0.3629 0.9441 0.3070
Pm3 0.0559 0.0559 0.6930
Pm4 0.9441 0.3629 0.3070
Si1 0.0000 0.0000 0.0000
Cl1 0.5000 0.0000 0.0000
Cl2 0.0000 0.5000 0.0000
Cl3 0.3372 0.3372 0.6744
Cl4 0.6628 0.6628 0.3256
# E_form (uncorrected): -9.8 eV/f.u.



# PmZn4Cu, optimized geometry, DFT PBE
data_PmZn4Cu
_chemical_formula_sum 'Pm1 Zn4 Cu1'
_symmetry_space_group_name_H-M 'P 1'
_symmetry_Int_Tables_number 1
_cell_length_a 5.3004
_cell_length_b 5.3004
_cell_length_c 5.3004
_cell_angle_alpha 60.00
_cell_angle_beta 60.00
_cell_angle_gamma 60.00
loop_
_symmetry_equiv_pos_as_xyz
'x,y,z'
loop_
_atom_site_label
_atom_site_fract_x
_atom_site_fract_y
_atom_site_fract_z
Zn1 0.6255 0.6255 0.1236
Zn2 0.6255 0.1236 0.6255
Zn3 0.6255 0.6255 0.6255
Zn4 0.1236 0.6255 0.6255
Cu1 0.0000 0.0000 0.0000
Pm1 0.2500 0.2500 0.2500
# formation enthalpy at 0 K: -0.09 eV/atom



# Ta6NbV, optimized geometry, DFT PBE
data_Ta6NbV
_chemical_formula_sum 'Ta6 Nb1 V1'
_symmetry_space_group_name_H-M 'P 1'
_symmetry_Int_Tables_number 1
_cell_length_a 7.4389
_cell_length_b 7.4455
_cell_length_c 5.2564
_cell_angle_alpha 44.92
_cell_angle_beta 44.92
_cell_angle_gamma 59.92
loop_
_symmetry_equiv_pos_as_xyz
'x,y,z'
loop_
_atom_site_label
_atom_site_fract_x
_atom_site_fract_y
_atom_site_fract_z
Ta1 0.9998 0.5002 0.7477
Ta2 0.7522 0.0002 0.7477
Ta3 0.5001 0.2479 0.2521
Ta4 0.2478 0.9998 0.2523
Ta5 0.0002 0.4998 0.2523
Ta6 0.4999 0.7521 0.7479
Nb1 0.5000 0.5000 0.5000
V1 0.0000 0.0000 0.0000
# formation enthalpy at 0 K: 0.07 eV/atom



# HfPICl2, optimized geometry, DFT PBE
data_HfPICl2
_chemical_formula_sum 'Hf1 P1 I1 Cl2'
_symmetry_space_group_name_H-M 'P 1'
_symmetry_Int_Tables_number 1
_cell_length_a 5.2484
_cell_length_b 5.4372
_cell_length_c 5.2484
_cell_angle_alpha 90.00
_cell_angle_beta 90.00
_cell_angle_gamma 90.00
loop_
_symmetry_equiv_pos_as_xyz
'x,y,z'
loop_
_atom_site_label
_atom_site_fract_x
_atom_site_fract_y
_atom_site_fract_z
I1 0.0000 0.0000 0.0000
P1 0.0000 0.5000 0.0000
Hf1 0.5000 0.5000 0.5000
Cl1 0.0000 0.0000 0.5000
Cl2 0.5000 0.0000 0.0000
# E_form (uncorrected): 5.3 eV/f.u.



# Ca4Bi2Sb, optimized geometry, DFT PBE
data_Ca4Bi2Sb
_chemical_formula_sum 'Ca8 Bi4 Sb2'
_symmetry_space_group_name_H-M 'P 1'
_symmetry_Int_Tables_number 1
_cell_length_a 6.1920
_cell_length_b 6.8708
_cell_length_c 11.6405
_cell_angle_alpha 90.00
_cell_angle_beta 111.49
_cell_angle_gamma 90.00
loop_
_symmetry_equiv_pos_as_xyz
'x,y,z'
loop_
_atom_site_label
_atom_site_fract_x
_atom_site_fract_y
_atom_site_fract_z
Sb1 0.1253 0.2500 0.1780
Sb2 0.8747 0.7500 0.8220
Ca1 0.7132 0.4837 0.2612
Ca2 0.9000 0.2500 0.8825
Ca3 0.1000 0.7500 0.1175
Ca4 0.7132 0.0163 0.2612
Ca5 0.7072 0.7500 0.5491
Ca6 0.2868 0.9837 0.7388
Ca7 0.2868 0.5163 0.7388
Ca8 0.2928 0.2500 0.4509
Bi1 0.4680 0.2500 0.9821
Bi2 0.5320 0.7500 0.0179
Bi3 0.1585 0.7500 0.4508
Bi4 0.8415 0.2500 0.5492
# E_form (uncorrected): -4.9 eV/f.u.



# CoTc2Hg, optimized geometry, DFT PBE
data_CoTc2Hg
_chemical_formula_sum 'Co1 Tc2 Hg1'
_symmetry_space_group_name_H-M 'P 1'
_symmetry_Int_Tables_number 1
_cell_length_a 5.6022
_cell_length_b 5.6022
_cell_length_c 5.6022
_cell_angle_alpha 151.36
_cell_angle_beta 133.08
_cell_angle_gamma 55.90
loop_
_symmetry_equiv_pos_as_xyz
'x,y,z'
loop_
_atom_site_label
_atom_site_fract_x
_atom_site_fract_y
_atom_site_fract_z
Co1 0.7500 0.2500 0.5000
Hg1 0.2500 0.7500 0.5000
Tc1 0.9630 0.9630 0.0000
Tc2 0.5370 0.5370 0.0000
# formation enthalpy at 0 K: 0.47 eV/atom



# TaSbCl, optimized geometry, DFT PBE
data_TaSbCl
_chemical_formula_sum 'Ta1 Sb1 Cl1'
_symmetry_space_group_name_H-M 'P 1'
_symmetry_Int_Tables_number 1
_cell_length_a 4.7042
_cell_length_b 4.7042
_cell_length_c 4.7042
_cell_angle_alpha 60.00
_cell_angle_beta 60.00
_cell_angle_gamma 60.00
loop_
_symmetry_equiv_pos_as_xyz
'x,y,z'
loop_
_atom_site_label
_atom_site_fract_x
_atom_site_fract_y
_atom_site_fract_z
Cl1 0.0000 0.0000 0.0000
Sb1 0.5000 0.5000 0.5000
Ta1 0.2500 0.2500 0.2500
# E_form (uncorrected): 0.8 eV/f.u.



# Sc2CuAu, optimized geometry, DFT PBE
data_Sc2CuAu
_chemical_formula_sum 'Sc4 Cu2 Au2'
_symmetry_space_group_name_H-M 'P 1'
_symmetry_Int_Tables_number 1
_cell_length_a 7.1779
_cell_length_b 7.1779
_cell_length_c 6.0359
_cell_angle_alpha 53.52
_cell_angle_beta 53.52
_cell_angle_gamma 90.00
loop_
_symmetry_equiv_pos_as_xyz
'x,y,z'
loop_
_atom_site_label
_atom_site_fract_x
_atom_site_fract_y
_atom_site_fract_z
Sc1 0.6118 0.1250 0.2500
Sc2 0.1382 0.6250 0.2500
Sc3 0.3750 0.3882 0.7500
Sc4 0.8750 0.8618 0.7500
Au1 0.0000 0.0000 0.0000
Au2 0.7500 0.2500 0.5000
Cu1 0.5000 0.5000 0.0000
Cu2 0.2500 0.7500 0.5000
# formation enthalpy at 0 K: -0.08 eV/atom



no.,total DFT energy (no corrections) (eV per atom)
1,-4.0656
2,-7.8794
3,-4.1423
4,-4.4527
5,-4.6223
6,-2.4169
7,-11.2159
8,-3.0532
9,-3.5359
10,-6.5664
11,-5.6713
12,-5.0934